{"formula": "KTcIr2", "functional": "PBE", "state": "optimized geometry", "lattice_angstrom": [[2.742, 0.000, 0.000], [0.000, 3.643, 0.000], [-0.010, 0.000, 8.022]], "species": ["K", "Tc", "Ir", "Ir"], "fractional_positions": [[0.000, 0.000, 0.000], [0.000, 0.000, 0.500], [0.500, 0.500, 0.331], [0.500, 0.500, 0.669]], "total_magnetization_mub_per_fu": 0.00, "vol_a3_per_atom": 20.04, "e_form_ev_per_atom": 0.49, "de_polymorph_mev_per_atom": 131, "space_group": "P2/m (10)"}